Entry 1:
Here is an optimized crystal structure of ScCd14Hg from Alexandria via LeMat-Bulk. Energies are from GGA-PBE.

N(E_F), states/eV/cell: 4.31
Uncorrected energy, eV/atom: -1.2499
Symmetry: No. 38
Magnetization, Bohr magnetons per cell: 0.000

a b c (Å): 6.571 6.571 9.916
angles (deg): 90.00 90.00 122.69
Fractional positions:
Sc  0.036  0.964  0.500
Cd  0.211  0.789  0.000
Cd  0.706  0.294  0.000
Cd  0.039  0.464  0.500
Cd  0.207  0.293  0.000
Cd  0.536  0.961  0.500
Cd  0.707  0.793  0.000
Cd  0.370  0.119  0.751
Cd  0.370  0.119  0.249
Cd  0.881  0.630  0.751
Cd  0.881  0.630  0.249
Cd  0.380  0.620  0.746
Cd  0.380  0.620  0.254
Cd  0.874  0.126  0.749
Cd  0.874  0.126  0.251
Hg  0.548  0.452  0.500

Entry 2:
Here is an optimized crystal structure of ThScCoCu from Alexandria via LeMat-Bulk. Energies are from GGA-PBE.

N(E_F), states/eV/cell: 2.39
Uncorrected energy, eV/atom: -6.4093
Symmetry: No. 216
Magnetization, Bohr magnetons per cell: 0.000

a b c (Å): 4.783 4.783 4.783
angles (deg): 60.00 60.00 60.00
Fractional positions:
Sc  0.500  0.500  0.500
Co  0.750  0.750  0.750
Cu  0.250  0.250  0.250
Th  0.000  0.000  0.000

Entry 3:
Here is an optimized crystal structure of TbZn5Au2 from Alexandria via LeMat-Bulk. Energies are from GGA-PBE.

N(E_F), states/eV/cell: 2.97
Uncorrected energy, eV/atom: -2.5397
Symmetry: No. 71
Magnetization, Bohr magnetons per cell: 0.000

a b c (Å): 3.637 6.701 6.701
angles (deg): 70.75 74.25 74.25
Fractional positions:
Tb  0.000  0.000  0.000
Zn  0.000  0.500  0.500
Zn  0.630  0.567  0.173
Zn  0.370  0.433  0.827
Zn  0.370  0.827  0.433
Zn  0.630  0.173  0.567
Au  0.740  0.760  0.760
Au  0.260  0.240  0.240

Entry 4:
Here is an optimized crystal structure of Ca2YSe from Alexandria via LeMat-Bulk. Energies are from GGA-PBE.

N(E_F), states/eV/cell: 3.61
E_form (uncorrected), eV per atom: -0.714
Symmetry: No. 8
Magnetization, Bohr magnetons per cell: 0.645

a b c (Å): 6.610 6.610 6.436
angles (deg): 60.72 60.72 33.00
Fractional positions:
Y  0.188  0.188  0.358
Ca  0.995  0.995  0.034
Ca  0.808  0.808  0.734
Se  0.509  0.509  0.374

Entry 5:
Here is an optimized crystal structure of K4SrBr6 from Alexandria via LeMat-Bulk. Energies are from GGA-PBE.

N(E_F), states/eV/cell: 0.00
E_form (uncorrected), eV per atom: -1.828
Symmetry: No. 167
Magnetization, Bohr magnetons per cell: 0.000

a b c (Å): 9.387 9.387 9.387
angles (deg): 89.74 89.74 90.26
Fractional positions:
K  0.377  0.123  0.250
K  0.877  0.250  0.377
K  0.250  0.623  0.123
K  0.250  0.250  0.750
K  0.750  0.750  0.250
K  0.750  0.377  0.877
K  0.123  0.750  0.623
K  0.623  0.877  0.750
Sr  0.500  0.500  0.500
Sr  0.000  0.000  0.000
Br  0.693  0.057  0.076
Br  0.076  0.307  0.057
Br  0.576  0.443  0.193
Br  0.943  0.076  0.693
Br  0.557  0.193  0.576
Br  0.193  0.424  0.443
Br  0.807  0.576  0.557
Br  0.443  0.807  0.424
Br  0.057  0.924  0.307
Br  0.424  0.557  0.807
Br  0.924  0.693  0.943
Br  0.307  0.943  0.924

Entry 6:
Here is an optimized crystal structure of Tb2Sn5Pd3 from Alexandria via LeMat-Bulk. Energies are from GGA-PBE.

N(E_F), states/eV/cell: 7.87
Uncorrected energy, eV/atom: -5.1686
Symmetry: No. 36
Magnetization, Bohr magnetons per cell: 0.000

a b c (Å): 4.515 7.422 13.544
angles (deg): 90.00 99.59 90.00
Fractional positions:
Tb  0.476  0.754  0.953
Tb  0.173  0.735  0.346
Tb  0.827  0.235  0.654
Tb  0.524  0.254  0.047
Sn  0.403  0.383  0.806
Sn  0.289  0.509  0.579
Sn  0.711  0.009  0.421
Sn  0.119  0.258  0.238
Sn  0.296  0.935  0.592
Sn  0.952  0.091  0.904
Sn  0.704  0.435  0.408
Sn  0.881  0.758  0.762
Sn  0.048  0.591  0.096
Sn  0.597  0.883  0.194
Pd  0.777  0.713  0.554
Pd  0.605  0.512  0.211
Pd  0.049  0.975  0.099
Pd  0.223  0.213  0.446
Pd  0.951  0.475  0.901
Pd  0.395  0.012  0.789